Entry from the Alexandria database: crystalline MoS4O at its relaxed geometry (GGA+U).

Results
**Electronic total energy**: -60.400 eV/cell
**Density**: 2.56 g/cm3

Lattice parameters (Å, degrees): 6.642 8.067 7.606 113.45 107.81 107.47
Last column: magnetic moment on the atom in μB.
Positions (direct):
S1 0.961 0.828 0.065  -0.05
S2 0.387 0.946 0.688  -0.03
S3 0.570 0.244 0.962  -0.03
S4 0.132 0.331 0.277  -0.01
S5 0.868 0.669 0.723  -0.01
S6 0.430 0.756 0.038  -0.03
S7 0.612 0.054 0.312  -0.03
S8 0.039 0.172 0.935  -0.05
O1 0.874 0.469 0.645  0.00
O2 0.126 0.531 0.355  0.00
Mo1 0.280 0.983 0.980  1.03
Mo2 0.720 0.017 0.020  1.03